1.
DFT (PBE) results for crystalline Mn2Hg2Pd7 at its relaxed geometry.

## Properties
- spin magnetization (μB/cell) = 18.7
- volume (Å³ per atom) = 17.49
- electronic total energy (eV per atom) = -5.01

a = 10.115 Å, b = 8.275 Å, c = 4.727 Å
α = 90.00°, β = 103.45°, γ = 90.00°
Space group C2/m (No. 12)
Unique sites:
Mn: 0.243 0.000 0.273 [4 per cell]
Hg: 0.000 0.298 0.500 [4 per cell]
Pd: 0.000 0.500 0.000 [2 per cell]
Pd: 0.058 0.000 0.785 [4 per cell]
Pd: 0.218 0.321 0.230 [8 per cell]

---

2.
DFT (PBE) results for crystalline Mn3HgPd12 at its relaxed geometry.

## Properties
- spin magnetization (μB/cell) = 13.4
- volume (Å³ per atom) = 15.48
- electronic total energy (eV per atom) = -5.83

a = 3.952 Å, b = 3.952 Å, c = 15.858 Å
α = 90.00°, β = 90.00°, γ = 90.00°
Space group P4/mmm (No. 123)
Unique sites:
Mn: 0.000 0.000 0.000 [1 per cell]
Mn: 0.000 0.000 0.246 [2 per cell]
Hg: 0.000 0.000 0.500 [1 per cell]
Pd: 0.000 0.500 0.122 [4 per cell]
Pd: 0.000 0.500 0.366 [4 per cell]
Pd: 0.500 0.500 0.000 [1 per cell]
Pd: 0.500 0.500 0.244 [2 per cell]
Pd: 0.500 0.500 0.500 [1 per cell]

---

3.
DFT (PBE) results for crystalline Mn3HgPd6 at its relaxed geometry.

## Properties
- spin magnetization (μB/cell) = 27.4
- volume (Å³ per atom) = 15.78
- electronic total energy (eV per atom) = -6.10

a = 8.409 Å, b = 4.141 Å, c = 9.108 Å
α = 90.00°, β = 95.55°, γ = 90.00°
Space group P2_1/m (No. 11)
Unique sites:
Mn: 0.052 0.250 0.396 [2 per cell]
Mn: 0.152 0.750 0.187 [2 per cell]
Mn: 0.253 0.250 0.976 [2 per cell]
Hg: 0.444 0.250 0.607 [2 per cell]
Pd: 0.036 0.750 0.898 [2 per cell]
Pd: 0.125 0.250 0.691 [2 per cell]
Pd: 0.230 0.750 0.487 [2 per cell]
Pd: 0.332 0.250 0.280 [2 per cell]
Pd: 0.340 0.750 0.800 [2 per cell]
Pd: 0.440 0.750 0.092 [2 per cell]

---

4.
DFT (PBE) results for crystalline MnHgPd at its relaxed geometry.

## Properties
- spin magnetization (μB/cell) = 4.1
- volume (Å³ per atom) = 17.10
- electronic total energy (eV per atom) = -4.82

a = 4.5287 Å, b = 4.5287 Å, c = 2.8878 Å
α = 90.00°, β = 90.00°, γ = 120.00°
Space group P-6m2 (No. 187)
Unique sites:
Mn: 0.0000 0.0000 0.0000 [1 per cell]
Hg: 0.6667 0.3333 0.5000 [1 per cell]
Pd: 0.3333 0.6667 0.0000 [1 per cell]

---

5.
DFT (PBE) results for crystalline MnHgPd at its relaxed geometry.

## Properties
- spin magnetization (μB/cell) = 8.2
- volume (Å³ per atom) = 17.04
- electronic total energy (eV per atom) = -4.95

a = 3.376 Å, b = 3.376 Å, c = 8.970 Å
α = 90.00°, β = 90.00°, γ = 90.00°
Space group I4mm (No. 107)
Unique sites:
Mn: 0.000 0.000 0.000 [2 per cell]
Hg: 0.000 0.000 0.325 [2 per cell]
Pd: 0.000 0.000 0.644 [2 per cell]

---

6.
DFT (PBE) results for crystalline MnHg2Pd2 at its relaxed geometry.

## Properties
- E above lowest polymorph (kJ per mole of atoms) = 0.0
- spin magnetization (μB/cell) = 8.7
- volume (Å³ per atom) = 18.84
- electronic total energy (eV per atom) = -4.05

a = 6.814 Å, b = 6.814 Å, c = 4.058 Å
α = 90.00°, β = 90.00°, γ = 90.00°
Space group P4/mbm (No. 127)
Unique sites:
Mn: 0.000 0.000 0.000 [2 per cell]
Hg: 0.164 0.336 0.500 [4 per cell]
Pd: 0.141 0.641 0.000 [4 per cell]

---

7.
DFT (PBE) results for crystalline MnHg4Pd5 at its relaxed geometry.

## Properties
- spin magnetization (μB/cell) = 4.2
- volume (Å³ per atom) = 17.50
- electronic total energy (eV per atom) = -3.80

a = 3.071 Å, b = 3.071 Å, c = 18.548 Å
α = 90.00°, β = 90.00°, γ = 90.00°
Space group P4/mmm (No. 123)
Unique sites:
Mn: 0.000 0.000 0.000 [1 per cell]
Hg: 0.000 0.000 0.190 [2 per cell]
Hg: 0.000 0.000 0.397 [2 per cell]
Pd: 0.500 0.500 0.084 [2 per cell]
Pd: 0.500 0.500 0.294 [2 per cell]
Pd: 0.500 0.500 0.500 [1 per cell]

---

8.
DFT (PBE) results for crystalline Mn2HgPd4 at its relaxed geometry.

## Properties
- spin magnetization (μB/cell) = 18.1
- volume (Å³ per atom) = 16.69
- electronic total energy (eV per atom) = -5.65

a = 6.547 Å, b = 5.631 Å, c = 6.967 Å
α = 90.00°, β = 114.53°, γ = 90.00°
Space group P2_1/m (No. 11)
Unique sites:
Mn: 0.021 0.250 0.014 [2 per cell]
Mn: 0.234 0.750 0.447 [2 per cell]
Hg: 0.263 0.250 0.450 [2 per cell]
Pd: 0.156 0.003 0.762 [4 per cell]
Pd: 0.404 0.750 0.155 [2 per cell]
Pd: 0.449 0.250 0.158 [2 per cell]